[1]
The following is a PBE calculation of crystalline La3AgN3 at its relaxed geometry, from Alexandria via LeMat-Bulk.

Properties
density of states at the Fermi level: 2.73 states/eV per cell
symmetry: No. 123
spin magnetization: 0.21 μB per formula unit
E_tot: -7.14 eV/atom
ΔE_f (raw): -1.052 eV per atom

a b c (Å): 3.7709 3.7709 9.2405
angles (deg): 90.00 90.00 90.00
Fractional positions:
1 La 0.0000 0.0000 0.0000
2 La 0.5000 0.5000 0.2746
3 La 0.5000 0.5000 0.7254
4 Ag 0.0000 0.0000 0.5000
5 N 0.0000 0.0000 0.2679
6 N 0.0000 0.0000 0.7321
7 N 0.5000 0.5000 0.0000

[2]
The following is a PBE calculation of crystalline BaBiTeP2 at its relaxed geometry, from Alexandria via LeMat-Bulk.

Properties
density of states at the Fermi level: 5.43 states/eV per cell
symmetry: No. 123
spin magnetization: 0.00 μB per formula unit
E_tot: -3.69 eV/atom
ΔE_f (raw): 0.260 eV per atom

a b c (Å): 5.3134 5.3134 5.8010
angles (deg): 90.00 90.00 90.00
Fractional positions:
1 Ba 0.0000 0.0000 0.0000
2 Bi 0.5000 0.5000 0.0000
3 Te 0.5000 0.5000 0.5000
4 P 0.0000 0.5000 0.5000
5 P 0.5000 0.0000 0.5000

[3]
The following is a PBE calculation of crystalline PaNi2As at its relaxed geometry, from Alexandria via LeMat-Bulk.

Properties
energy relative to the lowest polymorph listed for this composition: 0.00 eV per formula unit
density of states at the Fermi level: 4.04 states/eV per cell
symmetry: No. 166
spin magnetization: 0.00 μB per formula unit
formation energy: -0.548 eV per atom
E_tot: -6.98 eV/atom

a b c (Å): 5.1957 5.1957 5.1957
angles (deg): 45.24 45.24 45.24
Fractional positions:
1 Pa 0.0000 0.0000 0.0000
2 Ni 0.2195 0.2195 0.2195
3 Ni 0.7805 0.7805 0.7805
4 As 0.5000 0.5000 0.5000

[4]
The following is a PBE calculation of crystalline AcTl2Sn2 at its relaxed geometry, from Alexandria via LeMat-Bulk.

Properties
density of states at the Fermi level: 6.48 states/eV per cell
symmetry: No. 63
spin magnetization: 0.00 μB per formula unit
formation energy: -0.279 eV per atom
E_tot: -3.65 eV/atom

a b c (Å): 13.2126 13.2126 4.7069
angles (deg): 90.00 90.00 158.17
Fractional positions:
1 Ac 0.1489 0.8511 0.7500
2 Ac 0.8511 0.1489 0.2500
3 Tl 0.0449 0.9551 0.2500
4 Tl 0.4511 0.5489 0.2500
5 Tl 0.5489 0.4511 0.7500
6 Tl 0.9551 0.0449 0.7500
7 Sn 0.2521 0.7479 0.2500
8 Sn 0.3504 0.6496 0.7500
9 Sn 0.6496 0.3504 0.2500
10 Sn 0.7479 0.2521 0.7500

[5]
The following is a PBE calculation of crystalline Pm5TmBi6 at its relaxed geometry, from Alexandria via LeMat-Bulk.

Properties
density of states at the Fermi level: 2.26 states/eV per cell
symmetry: No. 12
spin magnetization: 0.00 μB per formula unit
formation energy: -0.910 eV per atom
E_tot: -5.20 eV/atom

a b c (Å): 7.8924 7.8924 7.8889
angles (deg): 99.60 99.60 120.02
Fractional positions:
1 Pm 0.0000 0.0000 0.0000
2 Pm 0.1658 0.8342 0.5000
3 Pm 0.3309 0.6691 0.0000
4 Pm 0.6691 0.3309 0.0000
5 Pm 0.8342 0.1658 0.5000
6 Tm 0.5000 0.5000 0.5000
7 Bi 0.0904 0.4184 0.2542
8 Bi 0.2554 0.2554 0.7483
9 Bi 0.4184 0.0904 0.2542
10 Bi 0.5816 0.9096 0.7458
11 Bi 0.7446 0.7446 0.2517
12 Bi 0.9096 0.5816 0.7458

[6]
The following is a PBE calculation of crystalline Nd5SmBi6 at its relaxed geometry, from Alexandria via LeMat-Bulk.

Properties
density of states at the Fermi level: 2.02 states/eV per cell
symmetry: No. 12
spin magnetization: 0.00 μB per formula unit
formation energy: -0.946 eV per atom
E_tot: -5.27 eV/atom

a b c (Å): 7.9703 7.9703 7.9703
angles (deg): 99.60 99.60 120.00
Fractional positions:
1 Nd 0.0000 0.0000 0.0000
2 Nd 0.1665 0.8335 0.5000
3 Nd 0.3327 0.6673 0.0000
4 Nd 0.6673 0.3327 0.0000
5 Nd 0.8335 0.1665 0.5000
6 Sm 0.5000 0.5000 0.5000
7 Bi 0.0855 0.4171 0.2513
8 Bi 0.2516 0.2516 0.7493
9 Bi 0.4171 0.0855 0.2513
10 Bi 0.5829 0.9145 0.7487
11 Bi 0.7484 0.7484 0.2507
12 Bi 0.9145 0.5829 0.7487

[7]
The following is a PBE calculation of crystalline Co3BW at its relaxed geometry, from Alexandria via LeMat-Bulk.

Properties
energy relative to the lowest polymorph listed for this composition: 0.00 eV per formula unit
density of states at the Fermi level: 4.90 states/eV per cell
symmetry: No. 221
spin magnetization: 1.98 μB per formula unit
formation energy: 0.189 eV per atom
E_tot: -8.00 eV/atom

a b c (Å): 3.7970 3.7970 3.7970
angles (deg): 90.00 90.00 90.00
Fractional positions:
1 Co 0.0000 0.0000 0.5000
2 Co 0.0000 0.5000 0.0000
3 Co 0.5000 0.0000 0.0000
4 B 0.0000 0.0000 0.0000
5 W 0.5000 0.5000 0.5000

[8]
The following is a PBE calculation of crystalline Mg30AlCuO32 at its relaxed geometry, from Alexandria via LeMat-Bulk.

Properties
symmetry: No. 123
spin magnetization: 0.07 μB per formula unit
E_tot: -5.99 eV/atom
ΔE_f (raw): -2.644 eV per atom

a b c (Å): 8.4952 8.4952 8.5352
angles (deg): 90.00 90.00 90.00
Fractional positions:
1 Mg 0.0000 0.0000 0.0000
2 Mg 0.0000 0.0000 0.5000
3 Mg 0.0000 0.2504 0.2489
4 Mg 0.0000 0.2504 0.7511
5 Mg 0.0000 0.5000 0.0000
6 Mg 0.0000 0.5000 0.5000
7 Mg 0.0000 0.7496 0.2489
8 Mg 0.0000 0.7496 0.7511
9 Mg 0.2504 0.0000 0.2489
10 Mg 0.2504 0.0000 0.7511
11 Mg 0.2500 0.2500 0.5000
12 Mg 0.2500 0.7500 0.5000
13 Mg 0.2520 0.2520 0.0000
14 Mg 0.2520 0.5000 0.2469
15 Mg 0.2520 0.5000 0.7531
16 Mg 0.2520 0.7480 0.0000
17 Mg 0.5000 0.0000 0.0000
18 Mg 0.5000 0.0000 0.5000
19 Mg 0.5000 0.2520 0.2469
20 Mg 0.5000 0.2520 0.7531
21 Mg 0.5000 0.7480 0.2469
22 Mg 0.5000 0.7480 0.7531
23 Mg 0.7480 0.2520 0.0000
24 Mg 0.7480 0.5000 0.2469
25 Mg 0.7480 0.5000 0.7531
26 Mg 0.7480 0.7480 0.0000
27 Mg 0.7496 0.0000 0.2489
28 Mg 0.7496 0.0000 0.7511
29 Mg 0.7500 0.2500 0.5000
30 Mg 0.7500 0.7500 0.5000
31 Al 0.5000 0.5000 0.5000
32 Cu 0.5000 0.5000 0.0000
33 O 0.0000 0.0000 0.2515
34 O 0.0000 0.0000 0.7485
35 O 0.0000 0.2490 0.0000
36 O 0.0000 0.2515 0.5000
37 O 0.0000 0.5000 0.2540
38 O 0.0000 0.5000 0.7460
39 O 0.0000 0.7485 0.5000
40 O 0.0000 0.7510 0.0000
41 O 0.2405 0.5000 0.0000
42 O 0.2490 0.0000 0.0000
43 O 0.2507 0.2507 0.2504
44 O 0.2507 0.2507 0.7496
45 O 0.2507 0.7493 0.2504
46 O 0.2507 0.7493 0.7496
47 O 0.2515 0.0000 0.5000
48 O 0.2609 0.5000 0.5000
49 O 0.5000 0.0000 0.2540
50 O 0.5000 0.0000 0.7460
51 O 0.5000 0.2405 0.0000
52 O 0.5000 0.2609 0.5000
53 O 0.5000 0.5000 0.2815
54 O 0.5000 0.5000 0.7185
55 O 0.5000 0.7391 0.5000
56 O 0.5000 0.7595 0.0000
57 O 0.7391 0.5000 0.5000
58 O 0.7485 0.0000 0.5000
59 O 0.7493 0.2507 0.2504
60 O 0.7493 0.2507 0.7496
61 O 0.7493 0.7493 0.2504
62 O 0.7493 0.7493 0.7496
63 O 0.7510 0.0000 0.0000
64 O 0.7595 0.5000 0.0000

[9]
The following is a PBE calculation of crystalline LiMgPb2 at its relaxed geometry, from Alexandria via LeMat-Bulk.

Properties
density of states at the Fermi level: 1.63 states/eV per cell
symmetry: No. 12
spin magnetization: 0.00 μB per formula unit
formation energy: -0.127 eV per atom
E_tot: -2.86 eV/atom

a b c (Å): 5.2085 5.2085 5.9329
angles (deg): 102.18 102.18 39.60
Fractional positions:
1 Li 0.0000 0.0000 0.0000
2 Mg 0.5000 0.5000 0.5000
3 Pb 0.2514 0.2514 0.7533
4 Pb 0.7486 0.7486 0.2467

[10]
The following is a PBE calculation of crystalline Lu3Ag at its relaxed geometry, from Alexandria via LeMat-Bulk.

Properties
energy relative to the lowest polymorph listed for this composition: 0.62 eV per formula unit
density of states at the Fermi level: 5.11 states/eV per cell
symmetry: No. 139
spin magnetization: 0.00 μB per formula unit
formation energy: 0.029 eV per atom
E_tot: -4.07 eV/atom

a b c (Å): 6.0565 6.0565 6.0565
angles (deg): 136.62 136.62 63.03
Fractional positions:
1 Lu 0.0000 0.0000 0.0000
2 Lu 0.2500 0.7500 0.5000
3 Lu 0.7500 0.2500 0.5000
4 Ag 0.5000 0.5000 0.0000

[11]
The following is a PBE calculation of crystalline ZnGa2Ag at its relaxed geometry, from Alexandria via LeMat-Bulk.

Properties
density of states at the Fermi level: 1.46 states/eV per cell
symmetry: No. 15
spin magnetization: 0.00 μB per formula unit
formation energy: 0.035 eV per atom
E_tot: -2.51 eV/atom

a b c (Å): 5.5172 5.5172 4.7157
angles (deg): 90.82 90.82 84.60
Fractional positions:
1 Zn 0.0899 0.9101 0.7500
2 Zn 0.9101 0.0899 0.2500
3 Ga 0.2052 0.4121 0.7262
4 Ga 0.4121 0.2052 0.2262
5 Ga 0.5879 0.7948 0.7738
6 Ga 0.7948 0.5879 0.2738
7 Ag 0.2757 0.7243 0.2500
8 Ag 0.7243 0.2757 0.7500

[12]
The following is a PBE calculation of crystalline Rb2BaNa2Bi2 at its relaxed geometry, from Alexandria via LeMat-Bulk.

Properties
density of states at the Fermi level: 1.84 states/eV per cell
symmetry: No. 166
spin magnetization: 0.00 μB per formula unit
formation energy: -0.508 eV per atom
E_tot: -2.54 eV/atom

a b c (Å): 10.9485 10.9485 10.9485
angles (deg): 29.96 29.96 29.96
Fractional positions:
1 Rb 0.1312 0.1312 0.1312
2 Rb 0.8688 0.8688 0.8688
3 Ba 0.0000 0.0000 0.0000
4 Na 0.3889 0.3889 0.3889
5 Na 0.6111 0.6111 0.6111
6 Bi 0.2675 0.2675 0.2675
7 Bi 0.7325 0.7325 0.7325

[13]
The following is a PBE calculation of crystalline PrPa2C at its relaxed geometry, from Alexandria via LeMat-Bulk.

Properties
energy relative to the lowest polymorph listed for this composition: 0.00 eV per formula unit
density of states at the Fermi level: 7.57 states/eV per cell
symmetry: No. 166
spin magnetization: 0.00 μB per formula unit
formation energy: 0.004 eV per atom
E_tot: -8.25 eV/atom

a b c (Å): 9.8563 9.8563 9.8563
angles (deg): 19.63 19.63 19.63
Fractional positions:
1 Pr 0.0000 0.0000 0.0000
2 Pa 0.1159 0.1159 0.1159
3 Pa 0.8841 0.8841 0.8841
4 C 0.5000 0.5000 0.5000

[14]
The following is a PBE calculation of crystalline Re3HgOs at its relaxed geometry, from Alexandria via LeMat-Bulk.

Properties
energy relative to the lowest polymorph listed for this composition: 0.00 eV per formula unit
density of states at the Fermi level: 5.20 states/eV per cell
symmetry: No. 221
spin magnetization: 1.66 μB per formula unit
formation energy: 2.184 eV per atom
E_tot: -7.59 eV/atom

a b c (Å): 4.7426 4.7426 4.7426
angles (deg): 90.00 90.00 90.00
Fractional positions:
1 Re 0.0000 0.0000 0.5000
2 Re 0.0000 0.5000 0.0000
3 Re 0.5000 0.0000 0.0000
4 Hg 0.5000 0.5000 0.5000
5 Os 0.0000 0.0000 0.0000

[15]
The following is a PBE calculation of crystalline CeSm4Tm4 at its relaxed geometry, from Alexandria via LeMat-Bulk.

Properties
density of states at the Fermi level: 15.36 states/eV per cell
symmetry: No. 139
spin magnetization: 1.41 μB per formula unit
formation energy: 0.044 eV per atom
E_tot: -4.70 eV/atom

a b c (Å): 7.9426 7.9426 7.9426
angles (deg): 95.76 95.76 143.06
Fractional positions:
1 Ce 0.0000 0.0000 0.0000
2 Sm 0.0000 0.3297 0.3297
3 Sm 0.0000 0.6703 0.6703
4 Sm 0.3297 0.0000 0.3297
5 Sm 0.6703 0.0000 0.6703
6 Tm 0.3352 0.3352 0.6705
7 Tm 0.3352 0.6647 0.0000
8 Tm 0.6647 0.3352 0.0000
9 Tm 0.6647 0.6647 0.3295

[16]
The following is a PBE calculation of crystalline CsRu2S2 at its relaxed geometry, from Alexandria via LeMat-Bulk.

Properties
density of states at the Fermi level: 0.99 states/eV per cell
symmetry: No. 139
spin magnetization: 0.00 μB per formula unit
E_tot: -6.12 eV/atom
ΔE_f (raw): -0.591 eV per atom

a b c (Å): 7.5333 7.5333 7.5333
angles (deg): 149.41 149.41 43.80
Fractional positions:
1 Cs 0.0000 0.0000 0.0000
2 Ru 0.2500 0.7500 0.5000
3 Ru 0.7500 0.2500 0.5000
4 S 0.3372 0.3372 0.0000
5 S 0.6628 0.6628 0.0000

[17]
The following is a PBE calculation of crystalline NdDyIr at its relaxed geometry, from Alexandria via LeMat-Bulk.

Properties
energy relative to the lowest polymorph listed for this composition: 0.04 eV per formula unit
density of states at the Fermi level: 3.28 states/eV per cell
symmetry: No. 216
spin magnetization: 0.00 μB per formula unit
formation energy: -0.597 eV per atom
E_tot: -6.67 eV/atom

a b c (Å): 4.8844 4.8844 4.8844
angles (deg): 60.00 60.00 60.00
Fractional positions:
1 Nd 0.0000 0.0000 0.0000
2 Dy 0.5000 0.5000 0.5000
3 Ir 0.2500 0.2500 0.2500

[18]
The following is a PBE calculation of crystalline Li2BeAl at its relaxed geometry, from Alexandria via LeMat-Bulk.

Properties
energy relative to the lowest polymorph listed for this composition: 0.45 eV per formula unit
density of states at the Fermi level: 0.73 states/eV per cell
symmetry: No. 25
spin magnetization: 0.00 μB per formula unit
formation energy: 0.079 eV per atom
E_tot: -2.75 eV/atom

a b c (Å): 2.6058 3.7576 5.7046
angles (deg): 90.00 90.00 90.00
Fractional positions:
1 Li 0.0000 0.0000 0.0000
2 Li 0.5000 0.5000 0.2696
3 Be 0.5000 0.5000 0.7484
4 Al 0.0000 0.0000 0.5419